No. 1
# ScFe2Pb

ScFe2Pb after structural relaxation (GGA-PBE, Alexandria).

abc: 5.3513 5.3513 3.0652
angles: 76.33 76.33 114.82
Site moments in Bohr magnetons follow the coordinates.
Positions (direct):
Fe  0.0000  0.0000  0.0000  2.50
Fe  0.5000  0.5000  0.0000  2.50
Pb  0.5000  0.0000  0.5000  -0.03
Sc  0.0000  0.5000  0.5000  -0.44

Electronic total energy (eV per atom): -6.380
V (Å³ per cell): 71.6
Mass density (g/cm³): 8.44

=====

No. 2
# Cs2K9Rb3Na

Cs2K9Rb3Na after structural relaxation (GGA-PBE, Alexandria).

abc: 9.2750 9.2750 16.0898
angles: 90.00 90.00 120.00
Positions (direct):
Cs  0.3333  0.6667  0.5070
Cs  0.6667  0.3333  0.4930
K  0.8361  0.1639  0.7392
K  0.8361  0.6722  0.7392
K  0.3278  0.1639  0.7392
K  0.6722  0.8361  0.2608
K  0.1639  0.3278  0.2608
K  0.1639  0.8361  0.2608
K  0.5000  0.0000  0.0000
K  0.0000  0.5000  0.0000
K  0.5000  0.5000  0.0000
Rb  0.3333  0.6667  0.7792
Rb  0.0000  0.0000  0.0000
Rb  0.6667  0.3333  0.2208
Na  0.0000  0.0000  0.5000

Electronic total energy (eV per atom): -1.020
V (Å³ per cell): 1198.7
Mass density (g/cm³): 1.24

=====

No. 3
# Pm2Pr5Pb4

Pm2Pr5Pb4 after structural relaxation (GGA-PBE, Alexandria).

abc: 3.6267 8.5537 14.4500
angles: 123.27 97.21 90.00
Positions (direct):
Pm  0.7293  0.6321  0.4587
Pm  0.2707  0.3679  0.5413
Pr  0.1778  0.8710  0.3556
Pr  0.8222  0.1290  0.6444
Pr  0.1272  0.2009  0.2544
Pr  0.5000  0.0000  0.0000
Pr  0.8728  0.7991  0.7456
Pb  0.5909  0.4671  0.1817
Pb  0.0384  0.7252  0.0768
Pb  0.4091  0.5329  0.8183
Pb  0.9616  0.2748  0.9232

Electronic total energy (eV per atom): -4.461
V (Å³ per cell): 370.5
Mass density (g/cm³): 8.17

=====

| no. | ΔE_f (meV per atom) |
| --- | --- |
| 1 | 361 |
| 2 | 34 |
| 3 | -76 |